First-principles (SCAN) data for BaMg2Cu2 at its PBEsol-relaxed geometry, as listed in the Alexandria database.

The space group is I4/mmm (No. 139) and the conventional cell measures 4.3537, 4.3537 and 11.9529 Å, with angles of 90.00, 90.00 and 90.00 degrees. The inequivalent atoms are Ba at (0.0000, 0.0000, 0.0000), Mg at (0.0000, 0.5000, 0.2500) and Cu at (0.0000, 0.0000, 0.3931).

As for the energy relative to the elements: -36.9 meV per atom. Its crystal system is tetragonal.

=====

First-principles (SCAN) data for BaMg3Cu at its PBEsol-relaxed geometry, as listed in the Alexandria database.

The space group is Pm-3m (No. 221) and the conventional cell measures 5.0742, 5.0742 and 5.0742 Å, with angles of 90.00, 90.00 and 90.00 degrees. The inequivalent atoms are Ba at (0.0000, 0.0000, 0.0000), Mg at (0.0000, 0.5000, 0.5000) and Cu at (0.5000, 0.5000, 0.5000).

As for the energy relative to the elements: -49.6 meV per atom. Its crystal system is cubic.